a | La3Tb7Tm: relaxed, PBE.

Cell: 7.119 7.119 8.792 Å, 90.00 90.00 120.00°
Element x y z (fractional)
La 0.000 0.500 0.000
La 0.500 0.000 0.000
La 0.500 0.500 0.000
Tb 0.167 0.335 0.341
Tb 0.167 0.833 0.341
Tb 0.335 0.167 0.661
Tb 0.665 0.833 0.341
Tb 0.667 0.333 0.341
Tb 0.833 0.167 0.661
Tb 0.833 0.665 0.661
Tm 0.333 0.667 0.659



b | La3Tb7Tm: relaxed, PBE.

Cell: 6.432 7.742 7.757 Å, 81.93 87.12 87.19°
Element x y z (fractional)
La 0.000 0.000 0.000
La 0.500 0.179 0.821
La 0.500 0.821 0.179
Tb 0.236 0.569 0.906
Tb 0.236 0.906 0.569
Tb 0.289 0.241 0.241
Tb 0.500 0.500 0.500
Tb 0.711 0.759 0.759
Tb 0.764 0.094 0.431
Tb 0.764 0.431 0.094
Tm 0.000 0.500 0.500



The energy of each structure relative to the most stable one, in kJ/mol of atoms, is as follows: a 0.0; b 5.9.



a | LaTb12Tm6: relaxed, PBE.

Cell: 9.269 9.269 9.269 Å, 107.49 107.49 107.49°
Element x y z (fractional)
La 0.000 0.000 0.000
Tb 0.111 0.500 0.889
Tb 0.111 0.889 0.500
Tb 0.155 0.374 0.374
Tb 0.374 0.155 0.374
Tb 0.374 0.374 0.155
Tb 0.500 0.111 0.889
Tb 0.500 0.889 0.111
Tb 0.626 0.626 0.845
Tb 0.626 0.845 0.626
Tb 0.845 0.626 0.626
Tb 0.889 0.111 0.500
Tb 0.889 0.500 0.111
Tm 0.267 0.691 0.691
Tm 0.309 0.309 0.733
Tm 0.309 0.733 0.309
Tm 0.691 0.267 0.691
Tm 0.691 0.691 0.267
Tm 0.733 0.309 0.309



b | LaTb12Tm6: relaxed, PBE.

Cell: 8.515 8.515 8.515 Å, 88.50 88.50 88.50°
Element x y z (fractional)
La 0.000 0.000 0.000
Tb 0.010 0.358 0.206
Tb 0.206 0.010 0.358
Tb 0.224 0.566 0.457
Tb 0.358 0.206 0.010
Tb 0.434 0.543 0.776
Tb 0.457 0.224 0.566
Tb 0.543 0.776 0.434
Tb 0.566 0.457 0.224
Tb 0.642 0.794 0.990
Tb 0.776 0.434 0.543
Tb 0.794 0.990 0.642
Tb 0.990 0.642 0.794
Tm 0.095 0.258 0.690
Tm 0.258 0.690 0.095
Tm 0.310 0.905 0.742
Tm 0.690 0.095 0.258
Tm 0.742 0.310 0.905
Tm 0.905 0.742 0.310



The energy of each structure relative to the most stable one, in kJ/mol of atoms, is as follows: a 26.0; b 0.0.



a | LaTb3Tm2: relaxed, PBE.

Cell: 9.480 9.480 11.578 Å, 90.00 90.00 158.18°
Element x y z (fractional)
La 0.221 0.779 0.750
La 0.779 0.221 0.250
Tb 0.107 0.893 0.250
Tb 0.336 0.664 0.503
Tb 0.336 0.664 0.997
Tb 0.664 0.336 0.003
Tb 0.664 0.336 0.497
Tb 0.893 0.107 0.750
Tm 0.000 0.000 0.000
Tm 0.000 0.000 0.500
Tm 0.446 0.554 0.250
Tm 0.554 0.446 0.750



b | LaTb3Tm2: relaxed, PBE.

Cell: 10.378 10.378 10.378 Å, 160.86 147.01 38.42°
Element x y z (fractional)
La 0.000 0.000 0.000
Tb 0.194 0.194 0.000
Tb 0.500 0.000 0.500
Tb 0.806 0.806 0.000
Tm 0.361 0.361 0.000
Tm 0.639 0.639 0.000



The energy of each structure relative to the most stable one, in kJ/mol of atoms, is as follows: a 0.0; b 31.0.



a | La5Tb2Tm2: relaxed, PBE.

Cell: 10.458 10.458 10.458 Å, 86.97 103.53 144.98°
Element x y z (fractional)
La 0.156 0.483 0.962
La 0.156 0.695 0.173
La 0.201 0.050 0.251
La 0.201 0.450 0.650
La 0.522 0.195 0.038
La 0.522 0.983 0.827
La 0.577 0.497 0.579
La 0.799 0.550 0.350
La 0.799 0.950 0.749
La 0.918 0.997 0.421
Tb 0.790 0.207 0.315
Tb 0.790 0.975 0.084
Tb 0.891 0.475 0.685
Tb 0.891 0.707 0.916
Tm 0.210 0.018 0.692
Tm 0.327 0.518 0.308
Tm 0.401 0.401 0.000
Tm 0.401 0.901 0.500



b | La5Tb2Tm2: relaxed, PBE.

Cell: 6.291 6.325 8.143 Å, 75.34 82.67 80.26°
Element x y z (fractional)
La 0.000 0.000 0.000
La 0.336 0.666 0.335
La 0.439 0.223 0.114
La 0.561 0.777 0.886
La 0.664 0.334 0.665
Tb 0.218 0.109 0.556
Tb 0.782 0.891 0.444
Tm 0.109 0.556 0.776
Tm 0.891 0.444 0.224



The energy of each structure relative to the most stable one, in kJ/mol of atoms, is as follows: a 13.8; b 0.0.